(1)
Material: Ni3B
Method: DFT, meta-GGA SCAN
State: PBEsol geometry

## Properties
Energy relative to the elements   -0.244 eV/atom
VASP energy   -14.23 eV per atom

Cell: 5.127 6.540 4.328 Å, 90.00 90.00 90.00°
Fractional coordinates of all 16 atoms:
Ni (0.027, 0.250, 0.131)
Ni (0.181, 0.062, 0.655)
Ni (0.181, 0.438, 0.655)
Ni (0.319, 0.562, 0.155)
Ni (0.319, 0.938, 0.155)
Ni (0.473, 0.750, 0.631)
Ni (0.527, 0.250, 0.369)
Ni (0.681, 0.062, 0.845)
Ni (0.681, 0.438, 0.845)
Ni (0.819, 0.562, 0.345)
Ni (0.819, 0.938, 0.345)
Ni (0.973, 0.750, 0.869)
B (0.118, 0.750, 0.438)
B (0.382, 0.250, 0.938)
B (0.618, 0.750, 0.062)
B (0.882, 0.250, 0.562)

(2)
Material: K4GeSe4
Method: DFT, meta-GGA SCAN
State: PBEsol geometry

## Properties
VASP energy   -15.92 eV per atom

Cell: 13.213 13.213 13.213 Å, 90.00 90.00 90.00°
Fractional coordinates of all 72 atoms:
K (0.089, 0.132, 0.649)
K (0.089, 0.868, 0.351)
K (0.132, 0.351, 0.911)
K (0.132, 0.649, 0.089)
K (0.149, 0.149, 0.149)
K (0.149, 0.368, 0.411)
K (0.149, 0.632, 0.589)
K (0.149, 0.851, 0.851)
K (0.351, 0.089, 0.868)
K (0.351, 0.351, 0.649)
K (0.351, 0.649, 0.351)
K (0.351, 0.911, 0.132)
K (0.368, 0.411, 0.149)
K (0.368, 0.589, 0.851)
K (0.411, 0.149, 0.368)
K (0.411, 0.851, 0.632)
K (0.589, 0.149, 0.632)
K (0.589, 0.851, 0.368)
K (0.632, 0.411, 0.851)
K (0.632, 0.589, 0.149)
K (0.649, 0.089, 0.132)
K (0.649, 0.351, 0.351)
K (0.649, 0.649, 0.649)
K (0.649, 0.911, 0.868)
K (0.851, 0.149, 0.851)
K (0.851, 0.368, 0.589)
K (0.851, 0.632, 0.411)
K (0.851, 0.851, 0.149)
K (0.868, 0.351, 0.089)
K (0.868, 0.649, 0.911)
K (0.911, 0.132, 0.351)
K (0.911, 0.868, 0.649)
Ge (0.000, 0.000, 0.000)
Ge (0.000, 0.500, 0.250)
Ge (0.000, 0.500, 0.750)
Ge (0.250, 0.000, 0.500)
Ge (0.500, 0.250, 0.000)
Ge (0.500, 0.500, 0.500)
Ge (0.500, 0.750, 0.000)
Ge (0.750, 0.000, 0.500)
Se (0.098, 0.386, 0.653)
Se (0.098, 0.614, 0.347)
Se (0.103, 0.103, 0.897)
Se (0.103, 0.897, 0.103)
Se (0.114, 0.402, 0.153)
Se (0.114, 0.598, 0.847)
Se (0.153, 0.114, 0.402)
Se (0.153, 0.886, 0.598)
Se (0.347, 0.098, 0.614)
Se (0.347, 0.902, 0.386)
Se (0.386, 0.347, 0.902)
Se (0.386, 0.653, 0.098)
Se (0.397, 0.397, 0.397)
Se (0.397, 0.603, 0.603)
Se (0.402, 0.153, 0.114)
Se (0.402, 0.847, 0.886)
Se (0.598, 0.153, 0.886)
Se (0.598, 0.847, 0.114)
Se (0.603, 0.397, 0.603)
Se (0.603, 0.603, 0.397)
Se (0.614, 0.347, 0.098)
Se (0.614, 0.653, 0.902)
Se (0.653, 0.098, 0.386)
Se (0.653, 0.902, 0.614)
Se (0.847, 0.114, 0.598)
Se (0.847, 0.886, 0.402)
Se (0.886, 0.402, 0.847)
Se (0.886, 0.598, 0.153)
Se (0.897, 0.103, 0.103)
Se (0.897, 0.897, 0.897)
Se (0.902, 0.386, 0.347)
Se (0.902, 0.614, 0.653)

(3)
Material: BeCuPb2
Method: DFT, meta-GGA SCAN
State: PBEsol geometry

## Properties
Energy relative to the elements   0.579 eV/atom
VASP energy   -42.20 eV per atom

Cell: 3.317 4.860 4.909 Å, 90.00 90.00 90.00°
Fractional coordinates of all 4 atoms:
Be (0.000, 0.000, 0.000)
Cu (0.000, 0.500, 0.500)
Pb (0.500, 0.000, 0.500)
Pb (0.500, 0.500, 0.000)

(4)
Material: HfTlRu2F
Method: DFT, meta-GGA SCAN
State: PBEsol geometry

## Properties
VASP energy   -40.61 eV per atom

Cell: 4.949 4.949 4.166 Å, 90.00 90.00 90.00°
Fractional coordinates of all 5 atoms:
Hf (0.000, 0.000, 0.000)
Tl (0.500, 0.500, 0.500)
Ru (0.000, 0.500, 0.500)
Ru (0.500, 0.000, 0.500)
F (0.500, 0.500, 0.000)

Q: What is the formula in the first record?
A: Ni3B

Q: Among the records above, which one has the highest VASP energy?
A: Ni3B

Q: What is the VASP energy in the third record?
A: -42.20 eV per atom